Compound: Cs3TlF6
Source: Alexandria
Functional: PBEsol
Structure: optimized geometry

```
data_Cs3TlF6
_chemical_formula_sum 'Cs3 Tl1 F6'
_symmetry_space_group_name_H-M 'P 1'
_symmetry_Int_Tables_number 1
_symmetry_space_group_name_Hall 'P 1'
_cell_length_a 6.938
_cell_length_b 6.938
_cell_length_c 6.938
_cell_angle_alpha 60.00
_cell_angle_beta 60.00
_cell_angle_gamma 60.00
loop_
_atom_site_label
_atom_site_fract_x
_atom_site_fract_y
_atom_site_fract_z
_atom_site_occupancy
Cs1 0.000 0.000 0.000 1
Cs2 0.250 0.250 0.250 1
Cs3 0.750 0.750 0.750 1
Tl1 0.500 0.500 0.500 1
F1 0.279 0.279 0.721 1
F2 0.279 0.721 0.279 1
F3 0.279 0.721 0.721 1
F4 0.721 0.279 0.279 1
F5 0.721 0.279 0.721 1
F6 0.721 0.721 0.279 1
```

Output
- Raw formation energy: -2.433 eV/atom
- Space-group type: Fm-3m (225)
- D(E_F): 0.0 states/eV per cell